## A
# Sn (PBE-GGA, relaxed)
data_Sn
_chemical_formula_sum 'Sn46'
_symmetry_space_group_name_H-M 'P m -3 n'
_symmetry_Int_Tables_number 223
_symmetry_space_group_name_Hall '-P 4n 2 3'
_cell_length_a 12.3478
_cell_length_b 12.3478
_cell_length_c 12.3478
_cell_angle_alpha 90.00
_cell_angle_beta 90.00
_cell_angle_gamma 90.00
loop_
_atom_site_label
_atom_site_type_symbol
_atom_site_fract_x
_atom_site_fract_y
_atom_site_fract_z
Sn1 Sn 0.0000 0.1169 0.3083
Sn2 Sn 0.0000 0.2500 0.5000
Sn3 Sn 0.1835 0.1835 0.1835
# Magnetic moment, μB/f.u.: 0.0



## B
# Sn (PBE-GGA, relaxed)
data_Sn
_chemical_formula_sum 'Sn4'
_symmetry_space_group_name_H-M 'P 63/m m c'
_symmetry_Int_Tables_number 194
_symmetry_space_group_name_Hall '-P 6c 2c'
_cell_length_a 4.6846
_cell_length_b 4.6846
_cell_length_c 7.6773
_cell_angle_alpha 90.00
_cell_angle_beta 90.00
_cell_angle_gamma 120.00
loop_
_atom_site_label
_atom_site_type_symbol
_atom_site_fract_x
_atom_site_fract_y
_atom_site_fract_z
Sn1 Sn 0.3333 0.6667 0.0624
# Magnetic moment, μB/f.u.: 0.0



## C
# Sn (PBE-GGA, relaxed)
data_Sn
_chemical_formula_sum 'Sn8'
_symmetry_space_group_name_H-M 'I 4/m m m'
_symmetry_Int_Tables_number 139
_symmetry_space_group_name_Hall '-I 4 2'
_cell_length_a 8.1085
_cell_length_b 8.1085
_cell_length_c 4.7010
_cell_angle_alpha 90.00
_cell_angle_beta 90.00
_cell_angle_gamma 90.00
loop_
_atom_site_label
_atom_site_type_symbol
_atom_site_fract_x
_atom_site_fract_y
_atom_site_fract_z
Sn1 Sn 0.1785 0.1785 0.0000
# Magnetic moment, μB/f.u.: 0.0



Which of them is most stable? Easy: B.



## A
# Sn (PBE-GGA, relaxed)
data_Sn
_chemical_formula_sum 'Sn16'
_symmetry_space_group_name_H-M 'I 4/m'
_symmetry_Int_Tables_number 87
_symmetry_space_group_name_Hall '-I 4'
_cell_length_a 11.7470
_cell_length_b 11.7470
_cell_length_c 3.3139
_cell_angle_alpha 90.00
_cell_angle_beta 90.00
_cell_angle_gamma 90.00
loop_
_atom_site_label
_atom_site_type_symbol
_atom_site_fract_x
_atom_site_fract_y
_atom_site_fract_z
Sn1 Sn 0.1177 0.3743 0.0000
Sn2 Sn 0.1197 0.1385 0.5000
# Magnetic moment, μB/f.u.: 0.0



## B
# Sn (PBE-GGA, relaxed)
data_Sn
_chemical_formula_sum 'Sn8'
_symmetry_space_group_name_H-M 'C m c e'
_symmetry_Int_Tables_number 64
_symmetry_space_group_name_Hall '-C 2ac 2'
_cell_length_a 5.6079
_cell_length_b 9.7681
_cell_length_c 4.6336
_cell_angle_alpha 90.00
_cell_angle_beta 90.00
_cell_angle_gamma 90.00
loop_
_atom_site_label
_atom_site_type_symbol
_atom_site_fract_x
_atom_site_fract_y
_atom_site_fract_z
Sn1 Sn 0.0000 0.1502 0.1068
# Magnetic moment, μB/f.u.: 0.0



Which of them is most stable? Easy: A.



## A
# Sn (PBE-GGA, relaxed)
data_Sn
_chemical_formula_sum 'Sn12'
_symmetry_space_group_name_H-M 'P n n m'
_symmetry_Int_Tables_number 58
_cell_length_a 4.6457
_cell_length_b 8.1892
_cell_length_c 13.3360
_cell_angle_alpha 90.00
_cell_angle_beta 90.00
_cell_angle_gamma 90.00
loop_
_symmetry_equiv_pos_as_xyz
'x,y,z'
'-x,-y,-z'
'-x,-y,z'
'x,y,-z'
'x+1/2,-y+1/2,-z+1/2'
'-x+1/2,y+1/2,z+1/2'
'-x+1/2,y+1/2,-z+1/2'
'x+1/2,-y+1/2,z+1/2'
loop_
_atom_site_label
_atom_site_type_symbol
_atom_site_fract_x
_atom_site_fract_y
_atom_site_fract_z
Sn1 Sn 0.0844 0.1730 0.2072
Sn2 Sn 0.2503 0.1087 0.0000
# Magnetic moment, μB/f.u.: 0.0



## B
# Sn (PBE-GGA, relaxed)
data_Sn
_chemical_formula_sum 'Sn1'
_symmetry_space_group_name_H-M 'P 6/m m m'
_symmetry_Int_Tables_number 191
_symmetry_space_group_name_Hall '-P 6 2'
_cell_length_a 3.2604
_cell_length_b 3.2604
_cell_length_c 3.0746
_cell_angle_alpha 90.00
_cell_angle_beta 90.00
_cell_angle_gamma 120.00
loop_
_atom_site_label
_atom_site_type_symbol
_atom_site_fract_x
_atom_site_fract_y
_atom_site_fract_z
Sn1 Sn 0.0000 0.0000 0.0000
# Magnetic moment, μB/f.u.: 0.0



Which of them is most stable? Easy: B.



## A
# Sr3TaSn (PBE-GGA, relaxed)
data_Sr3TaSn
_chemical_formula_sum 'Sr3 Ta1 Sn1'
_symmetry_space_group_name_H-M 'P m -3 m'
_symmetry_Int_Tables_number 221
_symmetry_space_group_name_Hall '-P 4 2 3'
_cell_length_a 6.2262
_cell_length_b 6.2262
_cell_length_c 6.2262
_cell_angle_alpha 90.00
_cell_angle_beta 90.00
_cell_angle_gamma 90.00
loop_
_atom_site_label
_atom_site_type_symbol
_atom_site_fract_x
_atom_site_fract_y
_atom_site_fract_z
Sr1 Sr 0.0000 0.0000 0.5000
Ta1 Ta 0.5000 0.5000 0.5000
Sn1 Sn 0.0000 0.0000 0.0000
# Magnetic moment, μB/f.u.: 5.0



## B
# Sr3TaSn (PBE-GGA, relaxed)
data_Sr3TaSn
_chemical_formula_sum 'Sr3 Ta1 Sn1'
_symmetry_space_group_name_H-M 'P m -3 m'
_symmetry_Int_Tables_number 221
_symmetry_space_group_name_Hall '-P 4 2 3'
_cell_length_a 5.8652
_cell_length_b 5.8652
_cell_length_c 5.8652
_cell_angle_alpha 90.00
_cell_angle_beta 90.00
_cell_angle_gamma 90.00
loop_
_atom_site_label
_atom_site_type_symbol
_atom_site_fract_x
_atom_site_fract_y
_atom_site_fract_z
Sr1 Sr 0.0000 0.0000 0.5000
Ta1 Ta 0.0000 0.0000 0.0000
Sn1 Sn 0.5000 0.5000 0.5000
# Magnetic moment, μB/f.u.: 0.0



Which of them is most stable? Easy: A.



## A
# SrTaSn3 (PBE-GGA, relaxed)
data_SrTaSn3
_chemical_formula_sum 'Sr1 Ta1 Sn3'
_symmetry_space_group_name_H-M 'P m -3 m'
_symmetry_Int_Tables_number 221
_symmetry_space_group_name_Hall '-P 4 2 3'
_cell_length_a 5.4075
_cell_length_b 5.4075
_cell_length_c 5.4075
_cell_angle_alpha 90.00
_cell_angle_beta 90.00
_cell_angle_gamma 90.00
loop_
_atom_site_label
_atom_site_type_symbol
_atom_site_fract_x
_atom_site_fract_y
_atom_site_fract_z
Sr1 Sr 0.0000 0.0000 0.0000
Ta1 Ta 0.5000 0.5000 0.5000
Sn1 Sn 0.0000 0.5000 0.5000
# Magnetic moment, μB/f.u.: 0.0



## B
# SrTaSn3 (PBE-GGA, relaxed)
data_SrTaSn3
_chemical_formula_sum 'Sr1 Ta1 Sn3'
_symmetry_space_group_name_H-M 'P m -3 m'
_symmetry_Int_Tables_number 221
_symmetry_space_group_name_Hall '-P 4 2 3'
_cell_length_a 5.6660
_cell_length_b 5.6660
_cell_length_c 5.6660
_cell_angle_alpha 90.00
_cell_angle_beta 90.00
_cell_angle_gamma 90.00
loop_
_atom_site_label
_atom_site_type_symbol
_atom_site_fract_x
_atom_site_fract_y
_atom_site_fract_z
Sr1 Sr 0.0000 0.0000 0.0000
Ta1 Ta 0.5000 0.5000 0.5000
Sn1 Sn 0.0000 0.0000 0.5000
# Magnetic moment, μB/f.u.: 0.0



Which of them is most stable? Easy: A.



## A
# SrTa3Sn (PBE-GGA, relaxed)
data_SrTa3Sn
_chemical_formula_sum 'Sr1 Ta3 Sn1'
_symmetry_space_group_name_H-M 'P m -3 m'
_symmetry_Int_Tables_number 221
_symmetry_space_group_name_Hall '-P 4 2 3'
_cell_length_a 5.1887
_cell_length_b 5.1887
_cell_length_c 5.1887
_cell_angle_alpha 90.00
_cell_angle_beta 90.00
_cell_angle_gamma 90.00
loop_
_atom_site_label
_atom_site_type_symbol
_atom_site_fract_x
_atom_site_fract_y
_atom_site_fract_z
Sr1 Sr 0.0000 0.0000 0.0000
Ta1 Ta 0.0000 0.5000 0.5000
Sn1 Sn 0.5000 0.5000 0.5000
# Magnetic moment, μB/f.u.: 0.0



## B
# SrTa3Sn (PBE-GGA, relaxed)
data_SrTa3Sn
_chemical_formula_sum 'Sr1 Ta3 Sn1'
_symmetry_space_group_name_H-M 'P m -3 m'
_symmetry_Int_Tables_number 221
_symmetry_space_group_name_Hall '-P 4 2 3'
_cell_length_a 4.9320
_cell_length_b 4.9320
_cell_length_c 4.9320
_cell_angle_alpha 90.00
_cell_angle_beta 90.00
_cell_angle_gamma 90.00
loop_
_atom_site_label
_atom_site_type_symbol
_atom_site_fract_x
_atom_site_fract_y
_atom_site_fract_z
Sr1 Sr 0.0000 0.0000 0.0000
Ta1 Ta 0.0000 0.0000 0.5000
Sn1 Sn 0.5000 0.5000 0.5000
# Magnetic moment, μB/f.u.: 0.0



Which of them is most stable? Easy: A.